(1)
An optimized crystal structure of LiAg3Hg4, computed with GGA-PBE.

```
LiAg3Hg4
1.0
4.9135 0.0000 0.0000
0.0000 6.7573 0.0000
0.0000 0.0000 9.6541
Ag Hg Li
6 8 2
direct
0.4079 0.5000 0.2500
0.5914 0.0000 0.7500
0.5921 0.5000 0.7500
0.0000 0.0000 0.0000
0.4086 0.0000 0.2500
0.0000 0.0000 0.5000
0.0812 0.2566 0.7500
0.5000 0.7437 0.5000
0.9188 0.7434 0.2500
0.5000 0.2563 0.0000
0.9188 0.2566 0.2500
0.5000 0.2563 0.5000
0.0812 0.7434 0.7500
0.5000 0.7437 0.0000
0.0000 0.5000 0.5000
0.0000 0.5000 0.0000
```

Properties
Fermi-level density of states: 4.6 states/eV/cell
SG: Pmma (51)
VASP energy: -1.50 eV per atom


(2)
An optimized crystal structure of Ta3Sb5, computed with GGA-PBE.

```
Ta3Sb5
1.0
7.8613 0.1124 0.0000
-5.1413 6.1197 0.0000
-1.3600 -3.1160 7.6430
Ta Sb
6 10
direct
0.6777 0.1734 0.1149
0.2979 0.2961 0.9668
0.0946 0.0435 0.5000
0.5969 0.7475 0.5000
0.8312 0.8294 0.0332
0.0627 0.5585 0.8851
0.4759 0.7450 0.1574
0.8156 0.2168 0.5000
0.9732 0.8016 0.7367
0.8185 0.0876 0.8426
0.3480 0.5234 0.7285
0.2999 0.8464 0.5000
0.2610 0.9739 0.1768
0.1195 0.2948 0.2715
0.7365 0.5648 0.2633
0.5842 0.2972 0.8232
```

Properties
Fermi-level density of states: 8.9 states/eV/cell
ΔE_f (raw): 1.6 eV per formula unit
SG: Cm (8)
ΔE to the lowest computed polymorph: 0 meV per atom
VASP energy: -6.82 eV per atom


(3)
An optimized crystal structure of HfGe2Br, computed with GGA-PBE.

```
HfGe2Br
1.0
0.0000 3.4839 3.4839
3.4839 0.0000 3.4839
3.4839 3.4839 0.0000
Ge Hf Br
2 1 1
direct
0.7500 0.7500 0.7500
0.2500 0.2500 0.2500
0.5000 0.5000 0.5000
0.0000 0.0000 0.0000
```

Properties
Fermi-level density of states: 3.6 states/eV/cell
ΔE_f (raw): 1.7 eV per formula unit
SG: Fm-3m (225)
ΔE to the lowest computed polymorph: 207 meV per atom
VASP energy: -4.79 eV per atom


(4)
An optimized crystal structure of CeNd4Y8, computed with GGA-PBE.

```
CeNd4Y8
1.0
9.7734 -0.0008 -5.2730
-6.3087 9.1391 -0.0005
-2.3677 -1.6340 7.3056
Y Nd Ce
8 4 1
direct
0.0001 0.2417 0.2418
0.5166 0.7583 0.7582
0.5168 0.7584 0.2752
0.4834 0.2417 0.2418
0.9999 0.7583 0.7582
0.9999 0.2416 0.7582
0.0001 0.7584 0.2418
0.4832 0.2416 0.7248
0.5000 0.0000 0.0000
0.0000 0.0000 0.0000
0.0000 0.5000 0.0000
0.5000 0.5000 0.0000
0.0000 0.5000 0.5000
```

Properties
Fermi-level density of states: 21.2 states/eV/cell
SG: Pm-3m (221)
VASP energy: -5.38 eV per atom


(5)
An optimized crystal structure of KLa2Al, computed with GGA-PBE.

```
KLa2Al
1.0
7.0211 0.0458 0.0195
3.5801 6.0399 -0.0195
-4.7561 -3.9914 3.2782
La K Al
2 1 1
direct
0.9943 0.9943 0.0000
0.7115 0.2115 0.5000
0.2842 0.7842 0.5000
0.5100 0.5100 0.0000
```

Properties
Fermi-level density of states: 5.2 states/eV/cell
SG: Imm2 (44)
VASP energy: -3.44 eV per atom


(6)
An optimized crystal structure of Ti7Ir3Ru2, computed with GGA-PBE.

```
Ti7Ir3Ru2
1.0
4.1859 0.0000 0.0000
0.0000 4.2799 -0.8500
0.0000 -0.0046 11.1764
Ti Ru Ir
7 2 3
direct
0.0000 0.4255 0.8509
0.0000 0.5745 0.1491
0.5000 0.0833 0.1666
0.0000 0.7135 0.4271
0.0000 0.2865 0.5729
0.0000 0.0000 0.0000
0.5000 0.9167 0.8334
0.0000 0.1502 0.3003
0.0000 0.8498 0.6997
0.5000 0.5000 0.0000
0.5000 0.3508 0.7016
0.5000 0.6492 0.2984
```

Properties
Fermi-level density of states: 12.5 states/eV/cell
SG: Cmmm (65)
VASP energy: -8.73 eV per atom


(7)
An optimized crystal structure of La2ScRu, computed with GGA-PBE.

```
La2ScRu
1.0
-5.1276 0.4069 2.9077
0.5557 -4.3990 -3.8133
0.2865 -2.6659 2.0674
La Sc Ru
2 1 1
direct
0.5000 0.0000 0.5000
0.0000 0.0000 0.0000
0.5000 0.5000 0.0000
0.0000 0.5000 0.5000
```

Properties
Fermi-level density of states: 5.1 states/eV/cell
SG: C2/m (12)
ΔE to the lowest computed polymorph: 366 meV per atom
VASP energy: -6.14 eV per atom


(8)
An optimized crystal structure of Pu2BiPd6, computed with GGA-PBE.

```
Pu2BiPd6
1.0
-3.5128 3.9098 -3.2966
-4.1870 -4.0084 -0.2977
-4.1016 -0.2233 4.1005
Pd Pu Bi
6 2 1
direct
0.6710 0.1773 0.1773
0.6710 0.6450 0.1767
0.6710 0.1767 0.6450
0.3290 0.8227 0.8227
0.3290 0.8233 0.3550
0.3290 0.3550 0.8233
0.1920 0.3328 0.3328
0.8080 0.6672 0.6672
0.0000 0.0000 0.0000
```

Properties
Fermi-level density of states: 30.1 states/eV/cell
SG: P-3m1 (164)
VASP energy: -7.49 eV per atom


(9)
An optimized crystal structure of ReSb2Rh, computed with GGA-PBE.

```
ReSb2Rh
1.0
-3.1409 -2.4174 -2.6212
-3.3956 2.3214 -2.3793
0.1697 0.2512 -4.7422
Rh Sb Re
1 2 1
direct
0.7500 0.7500 0.7500
0.0000 0.0000 0.0000
0.2500 0.2500 0.2500
0.5000 0.5000 0.5000
```

Properties
Fermi-level density of states: 5.4 states/eV/cell
ΔE_f (raw): 3.0 eV per formula unit
SG: F-43m (216)
ΔE to the lowest computed polymorph: 592 meV per atom
VASP energy: -6.27 eV per atom


(10)
An optimized crystal structure of CeMgTlI6, computed with GGA-PBE.

```
CeMgTlI6
1.0
-1.0340 1.3614 7.6886
-4.6685 -5.1113 -3.7571
9.7708 -11.3699 3.3272
Tl I Ce Mg
2 12 2 2
direct
0.0000 0.0000 0.5000
0.0000 0.0000 0.0000
0.3744 0.0188 0.1362
0.3556 0.3744 0.8638
0.6444 0.0188 0.3638
0.3556 0.9812 0.6362
0.6256 0.6444 0.6362
0.0188 0.3744 0.6362
0.9812 0.6256 0.3638
0.0188 0.6444 0.8638
0.9812 0.3556 0.1362
0.6256 0.9812 0.8638
0.3744 0.3556 0.3638
0.6444 0.6256 0.1362
0.3333 0.6667 0.2500
0.6667 0.3333 0.7500
0.6667 0.3333 0.2500
0.3333 0.6667 0.7500
```

Properties
Fermi-level density of states: 16.9 states/eV/cell
ΔE_f (raw): -9.7 eV per formula unit
SG: P-31c (163)
VASP energy: -3.21 eV per atom


(11)
An optimized crystal structure of TiOsPbO6, computed with GGA-PBE.

```
TiOsPbO6
1.0
7.1350 0.0000 0.0000
0.0000 7.2012 0.0000
-3.5675 -3.6006 5.2804
O Pb Ti Os
12 2 2 2
direct
0.8075 0.0575 0.6151
0.1860 0.9472 0.7682
0.4178 0.6789 0.2318
0.5822 0.3211 0.7682
0.1925 0.9425 0.3849
0.1860 0.3211 0.7682
0.5822 0.9472 0.7682
0.4178 0.0528 0.2318
0.5616 0.3116 0.1231
0.8140 0.6789 0.2318
0.8140 0.0528 0.2318
0.4384 0.6884 0.8769
0.0195 0.2695 0.0389
0.9805 0.7305 0.9611
0.0000 0.0000 0.5000
0.5000 0.0000 0.5000
0.5000 0.0000 0.0000
0.5000 0.5000 0.0000
```

Properties
Fermi-level density of states: 9.9 states/eV/cell
ΔE_f (raw): -14.1 eV per formula unit
SG: Imma (74)
VASP energy: -7.41 eV per atom